Entry 1:
# EuGdCd2, optimized geometry, DFT GGA-PBE
# * calculated formation energy: -33.2 kJ/mol of atoms
data_EuGdCd2
_cell_length_a 3.8418
_cell_length_b 3.8418
_cell_length_c 7.7499
_cell_angle_alpha 90.00
_cell_angle_beta 90.00
_cell_angle_gamma 90.00
_space_group_name_H-M_alt 'P 1'
_space_group_IT_number 1
loop_
_space_group_symop_operation_xyz
'x,y,z'
loop_
_atom_site_label
_atom_site_type_symbol
_atom_site_fract_x
_atom_site_fract_y
_atom_site_fract_z
Gd1 Gd 0.5000 0.5000 0.0000
Cd1 Cd 0.0000 0.0000 0.2315
Cd2 Cd 0.0000 0.0000 0.7685
Eu1 Eu 0.5000 0.5000 0.5000

=====

Entry 2:
# Tb8CoNi2, optimized geometry, DFT GGA-PBE
# * calculated formation energy: -15.3 kJ/mol of atoms
data_Tb8CoNi2
_cell_length_a 5.0166
_cell_length_b 6.5925
_cell_length_c 8.8828
_cell_angle_alpha 104.23
_cell_angle_beta 106.40
_cell_angle_gamma 90.00
_space_group_name_H-M_alt 'P 1'
_space_group_IT_number 1
loop_
_space_group_symop_operation_xyz
'x,y,z'
loop_
_atom_site_label
_atom_site_type_symbol
_atom_site_fract_x
_atom_site_fract_y
_atom_site_fract_z
Tb1 Tb 0.3317 0.0233 0.6634
Tb2 Tb 0.9635 0.2071 0.9271
Tb3 Tb 0.4108 0.5590 0.8216
Tb4 Tb 0.2017 0.3286 0.4035
Tb5 Tb 0.5892 0.4410 0.1784
Tb6 Tb 0.6683 0.9767 0.3366
Tb7 Tb 0.7983 0.6714 0.5965
Tb8 Tb 0.0365 0.7929 0.0729
Ni1 Ni 0.8098 0.2724 0.6197
Ni2 Ni 0.1902 0.7276 0.3803
Co1 Co 0.5000 0.0000 0.0000

=====

Entry 3:
Entry from Alexandria via LeMat-Bulk: a relaxed structure of CrSiH (GGA-PBE).

```
data_CrSiH
_cell_length_a 2.4971
_cell_length_b 3.0372
_cell_length_c 7.5334
_cell_angle_alpha 90.00
_cell_angle_beta 90.00
_cell_angle_gamma 90.00
_space_group_name_H-M_alt 'P 1'
_space_group_IT_number 1
loop_
_space_group_symop_operation_xyz
'x,y,z'
loop_
_atom_site_label
_atom_site_type_symbol
_atom_site_fract_x
_atom_site_fract_y
_atom_site_fract_z
Si1 Si 0.0000 0.5000 0.3722
Si2 Si 0.0000 0.0000 0.8722
Cr1 Cr 0.5000 0.5000 0.6629
Cr2 Cr 0.5000 0.0000 0.1629
H1 H 0.5000 0.5000 0.0603
H2 H 0.5000 0.0000 0.5603
```

=====

Entry 4:
# KHgPd2, optimized geometry, DFT GGA-PBE
# * calculated formation energy: 8.7 kJ/mol of atoms
data_KHgPd2
_cell_length_a 4.9911
_cell_length_b 4.9911
_cell_length_c 10.1362
_cell_angle_alpha 75.75
_cell_angle_beta 75.75
_cell_angle_gamma 90.00
_space_group_name_H-M_alt 'P 1'
_space_group_IT_number 1
loop_
_space_group_symop_operation_xyz
'x,y,z'
loop_
_atom_site_label
_atom_site_type_symbol
_atom_site_fract_x
_atom_site_fract_y
_atom_site_fract_z
Pd1 Pd 0.9527 0.6250 0.2500
Pd2 Pd 0.7973 0.1250 0.2500
Pd3 Pd 0.8750 0.0473 0.7500
Pd4 Pd 0.3750 0.2027 0.7500
K1 K 0.5000 0.5000 0.0000
K2 K 0.2500 0.7500 0.5000
Hg1 Hg 0.0000 0.0000 0.0000
Hg2 Hg 0.7500 0.2500 0.5000

=====

Number 1: uncorrected energy -6.891 eV/atom. Number 2: uncorrected energy -5.223 eV/atom. Number 3: uncorrected energy -6.089 eV/atom. Number 4: uncorrected energy -2.856 eV/atom.